Gd2LuTi, relaxed, DFT PBE-GGA; volume = 27.2 Å³/atom; energy above the lowest structure with this stoichiometry = 20 meV per atom; energy of formation from the pure elements = 0.192 eV per atom; SG = P4/mmm; final energy = -39.808 eV per cell
1.0
4.7730 0.0000 0.0000
0.0000 4.7710 0.0000
0.0000 0.0000 4.7710
Gd Lu Ti
2 1 1
Cartesian
0.0000 0.0000 2.3855 Gd
0.0000 2.3855 0.0000 Gd
2.3865 2.3855 2.3855 Lu
2.3865 0.0000 0.0000 Ti


GdLuTi4, relaxed, DFT PBE-GGA; volume = 22.4 Å³/atom; energy of formation from the pure elements = 0.280 eV per atom; SG = F-43m; final energy = -48.503 eV per cell
1.0
5.7485 0.0000 0.0000
2.8743 4.9784 0.0000
2.8743 1.6595 4.6937
Gd Lu Ti
1 1 4
Cartesian
2.8743 1.6595 1.1734 Gd
0.0000 0.0000 0.0000 Lu
5.7485 3.3189 0.6458 Ti
5.7485 1.7152 2.9138 Ti
7.1374 4.1208 2.9138 Ti
4.3596 4.1208 2.9138 Ti


Gd2LuTi, relaxed, DFT PBE-GGA; volume = 27.1 Å³/atom; energy above the lowest structure with this stoichiometry = 0 meV per atom; energy of formation from the pure elements = 0.172 eV per atom; SG = P4/mmm; final energy = -39.889 eV per cell
1.0
3.4063 0.0000 0.0000
0.0000 3.4063 0.0000
0.0000 0.0000 9.3564
Gd Lu Ti
2 1 1
Cartesian
0.0000 0.0000 7.2595 Gd
0.0000 0.0000 2.0970 Gd
1.7031 1.7031 4.6782 Lu
1.7031 1.7031 0.0000 Ti


GdLuTiTl, relaxed, DFT PBE-GGA; volume = 25.5 Å³/atom; energy of formation from the pure elements = 0.027 eV per atom; SG = F-43m; final energy = -28.757 eV per cell
1.0
-4.8198 1.9902 0.5741
-3.7171 -2.7897 2.4335
-1.6874 1.4579 4.7485
Gd Tl Lu Ti
1 1 1 1
Cartesian
0.0000 0.0000 0.0000 Gd
-7.6682 0.4937 5.8170 Tl
-5.1121 0.3292 3.8780 Lu
-2.5561 0.1646 1.9390 Ti


GdLuTl2, relaxed, DFT PBE-GGA; volume = 26.9 Å³/atom; energy above the lowest structure with this stoichiometry = 0 meV per atom; energy of formation from the pure elements = -0.337 eV per atom; SG = P4/mmm; final energy = -24.681 eV per cell
1.0
-0.9585 2.0910 2.7464
-2.3051 -2.5094 1.1060
6.0137 -3.4436 4.7208
Gd Tl Lu
1 2 1
Cartesian
1.3750 -1.9310 4.2866 Gd
4.5528 -2.6070 3.5739 Tl
1.4609 -0.8366 1.1468 Tl
-1.6318 -0.2092 1.9262 Lu


GdLuTl, relaxed, DFT PBE-GGA; volume = 28.8 Å³/atom; energy above the lowest structure with this stoichiometry = 0 meV per atom; energy of formation from the pure elements = -0.222 eV per atom; SG = I4mm; final energy = -21.633 eV per cell
1.0
3.6137 0.0000 0.0000
0.0000 3.6137 0.0000
-1.8069 -1.8069 6.6062
Tl Gd Lu
1 1 1
Cartesian
1.8069 1.8069 2.2516 Tl
0.0000 0.0000 0.0939 Gd
0.0000 0.0000 4.2607 Lu


Question: Among the records above, which one has the lowest volume?
Answer: GdLuTi4


Question: Which of these has the lowest volume?
Answer: GdLuTi4